Arrangement one

Here is an optimized crystal structure of AlTl2Cl from Alexandria via LeMat-Bulk. Energies are from GGA-PBE.

Cell: 3.6483 3.6483 28.3032 Å, 90.00 90.00 120.00°
Space group R-3m (No. 166, hexagonal axes)
Symmetry-distinct sites (fractional):
Al: 0.0000 0.0000 0.0000 x3
Tl: 0.0000 0.0000 0.2475 x6
Cl: 0.0000 0.0000 0.5000 x3

Values from the calculation:
The calculation puts the total magnetic moment at 0.00 μB/atom. As for the density of states at the Fermi level: 0.5463 states/eV per atom.


Arrangement two

Here is an optimized crystal structure of AlTl2Cl from Alexandria via LeMat-Bulk. Energies are from GGA-PBE.

Cell: 3.347 3.347 9.378 Å, 90.00 90.00 90.00°
Space group P4mm (No. 99)
Symmetry-distinct sites (fractional):
Al: 0.000 0.000 0.000 x1
Tl: 0.000 0.000 0.475 x1
Tl: 0.500 0.500 0.765 x1
Cl: 0.500 0.500 0.173 x1

Values from the calculation:
The calculation puts the total magnetic moment at 0.00 μB/atom. As for the density of states at the Fermi level: 0.6772 states/eV per atom.


Arrangement three

Here is an optimized crystal structure of AlTl2Cl from Alexandria via LeMat-Bulk. Energies are from GGA-PBE.

Cell: 3.447 6.017 10.447 Å, 90.00 90.00 90.00°
Space group Cmm2 (No. 35)
Symmetry-distinct sites (fractional):
Al: 0.000 0.000 0.000 x2
Tl: 0.000 0.000 0.475 x2
Tl: 0.000 0.500 0.760 x2
Cl: 0.000 0.500 0.171 x2

Values from the calculation:
The calculation puts the total magnetic moment at 0.00 μB/atom. As for the density of states at the Fermi level: 0.3187 states/eV per atom.


Ranked by calculated energy, most stable first: arrangement three, arrangement one, arrangement two.


Arrangement one

Here is an optimized crystal structure of AlTl2Cl from Alexandria via LeMat-Bulk. Energies are from GGA-PBE.

Cell: 14.785 3.429 4.621 Å, 90.00 108.13 90.00°
Space group C2/m (No. 12)
Symmetry-distinct sites (fractional):
Al: 0.000 0.000 0.000 x2
Tl: 0.183 0.500 0.184 x4
Cl: 0.000 0.500 0.500 x2

Values from the calculation:
The calculation puts the total magnetic moment at 0.00 μB/atom. As for the density of states at the Fermi level: 0.5655 states/eV per atom.


Arrangement two

Here is an optimized crystal structure of AlTl2Cl from Alexandria via LeMat-Bulk. Energies are from GGA-PBE.

Cell: 4.431 4.431 11.463 Å, 90.00 90.00 90.00°
Space group I-4m2 (No. 119)
Symmetry-distinct sites (fractional):
Al: 0.000 0.000 0.000 x2
Tl: 0.000 0.000 0.500 x2
Tl: 0.000 0.500 0.250 x2
Cl: 0.000 0.500 0.750 x2

Values from the calculation:
The calculation puts the total magnetic moment at 0.00 μB/atom. As for the density of states at the Fermi level: 0.3995 states/eV per atom.


Ranked by calculated energy, most stable first: arrangement one, arrangement two.